Crystalline BaAcPb at its relaxed geometry. Source: Alexandria via LeMat-Bulk, functional PBE-GGA.

Geometry as POSCAR:
```
BaAcPb
1.0
-0.6960 -4.3147 -1.0483
3.4855 0.1265 -2.8346
2.3767 0.3776 6.5023
Ac Pb Ba
1 1 1
Cartesian
2.3505 -1.0698 2.8425
4.6938 -3.5956 2.0481
2.1566 -2.4408 -1.0202
```

Computed properties:
Magnetization = 1.163 μB per cell
Energy of formation = -0.26 eV per atom
Crystal system = tetragonal